Sm2Te3I | Alexandria via LeMat-Bulk | PBE-GGA | optimized geometry; formation energy without anion corrections = -1013 meV/atom; space-group type = R-3c
1.0
4.247 2.452 6.916
-4.247 2.452 6.916
0.000 -4.904 6.916
Sm Te I
4 6 2
direct
0.148 0.148 0.148
0.352 0.352 0.352
0.648 0.648 0.648
0.852 0.852 0.852
0.028 0.750 0.472
0.250 0.528 0.972
0.472 0.028 0.750
0.528 0.972 0.250
0.750 0.472 0.028
0.972 0.250 0.528
0.000 0.000 0.000
0.500 0.500 0.500


SmYTeI | Alexandria via LeMat-Bulk | PBE-GGA | optimized geometry; formation energy without anion corrections = -1006 meV/atom; space-group type = F-43m
1.0
0.000 3.816 3.816
3.816 0.000 3.816
3.816 3.816 0.000
Sm Y Te I
1 1 1 1
direct
0.000 0.000 0.000
0.500 0.500 0.500
0.250 0.250 0.250
0.750 0.750 0.750


SmThI2 | Alexandria via LeMat-Bulk | PBE-GGA | optimized geometry; formation energy without anion corrections = -576 meV/atom; space-group type = R-3m
1.0
1.898 1.096 11.046
-1.898 1.096 11.046
0.000 -2.192 11.046
Sm Th I
1 1 2
direct
0.000 0.000 0.000
0.500 0.500 0.500
0.403 0.403 0.403
0.597 0.597 0.597